Version a
## LiICl6 (PBE)

Data for a relaxed LiICl6 crystal.

* SG: C2/m (12)
* M_tot: 0.0 μB/f.u.
* volume: 34.2 Å³ per atom

Cell lengths 7.3635, 11.9483, 7.2170 Å; angles 90.00, 120.59, 90.00 degrees
Last column: nearest neighbours and their distance in Å.
Fractional coordinates of all 16 atoms:
Li 0.0000 0.0000 0.0000  4 Cl 2.47
Li 0.5000 0.5000 0.0000  4 Cl 2.47
I 0.0000 0.0000 0.5000  6 Cl 2.46-2.53
I 0.5000 0.5000 0.5000  6 Cl 2.46-2.53
Cl 0.0065 0.1449 0.7592  1 Li 2.47, 1 I 2.53
Cl 0.0065 0.8551 0.7592  1 Li 2.47, 1 I 2.53
Cl 0.1114 0.5000 0.3068  1 I 2.46
Cl 0.3886 0.0000 0.6932  1 I 2.46
Cl 0.4935 0.3551 0.2408  1 Li 2.47, 1 I 2.53
Cl 0.4935 0.6449 0.2408  1 Li 2.47, 1 I 2.53
Cl 0.5065 0.3551 0.7592  1 Li 2.47, 1 I 2.53
Cl 0.5065 0.6449 0.7592  1 Li 2.47, 1 I 2.53
Cl 0.6114 0.0000 0.3068  1 I 2.46
Cl 0.8886 0.5000 0.6932  1 I 2.46
Cl 0.9935 0.1449 0.2408  1 Li 2.47, 1 I 2.53
Cl 0.9935 0.8551 0.2408  1 Li 2.47, 1 I 2.53

***

Version b
## LiICl6 (PBE)

Data for a relaxed LiICl6 crystal.

* SG: R-3 (148)
* M_tot: 0.0 μB/f.u.
* volume: 27.1 Å³ per atom

Cell lengths 6.9595, 6.9595, 6.9595 Å; angles 56.10, 56.10, 56.10 degrees
Last column: nearest neighbours and their distance in Å.
Fractional coordinates of all 8 atoms:
Li 0.0000 0.0000 0.0000  6 Cl 2.66
I 0.5000 0.5000 0.5000  6 Cl 2.51
Cl 0.1077 0.7359 0.4097  1 I 2.51, 1 Li 2.66
Cl 0.2641 0.5903 0.8923  1 I 2.51, 1 Li 2.66
Cl 0.4097 0.1077 0.7359  1 I 2.51, 1 Li 2.66
Cl 0.5903 0.8923 0.2641  1 I 2.51, 1 Li 2.66
Cl 0.7359 0.4097 0.1077  1 I 2.51, 1 Li 2.66
Cl 0.8923 0.2641 0.5903  1 I 2.51, 1 Li 2.66

***

Going by the energies, version a is most stable and the next is 2.9 kJ/mol of atoms up.

***

Version a
## Li5ICl4 (PBE)

Data for a relaxed Li5ICl4 crystal.

* SG: I4/mmm (139)
* M_tot: 0.0 μB/f.u.
* volume: 19.6 Å³ per atom

Cell lengths 13.5286, 13.5286, 13.5286 Å; angles 163.64, 163.64, 23.22 degrees
Last column: nearest neighbours and their distance in Å.
Fractional coordinates of all 10 atoms:
Li 0.0000 0.0000 0.0000  4 I 2.72, 2 Cl 2.87
Li 0.2021 0.2021 0.0000  6 Cl 2.49-2.72
Li 0.3881 0.3881 0.0000  1 Cl 2.43
Li 0.6119 0.6119 0.0000  1 Cl 2.43
Li 0.7979 0.7979 0.0000  6 Cl 2.49-2.72
I 0.5000 0.5000 0.0000  6 Li 2.72-2.96
Cl 0.1083 0.1083 0.0000  5 Li 2.49-2.72
Cl 0.2964 0.2964 0.0000  6 Li 2.43-2.72
Cl 0.7036 0.7036 0.0000  6 Li 2.43-2.72
Cl 0.8917 0.8917 0.0000  5 Li 2.49-2.72

***

Version b
## Li5ICl4 (PBE)

Data for a relaxed Li5ICl4 crystal.

* SG: P3m1 (156)
* M_tot: 0.0 μB/f.u.
* volume: 23.5 Å³ per atom

Cell lengths 4.0834, 4.0834, 32.5111 Å; angles 90.00, 90.00, 120.00 degrees
Last column: nearest neighbours and their distance in Å.
Fractional coordinates of all 20 atoms:
Li 0.0000 0.0000 0.0000  1 Cl 2.38
Li 0.0000 0.0000 0.1872  4 Cl 2.40-2.45
Li 0.0000 0.0000 0.3756  4 Cl 2.40-2.45
Li 0.0000 0.0000 0.5634  4 Cl 2.39-2.45
Li 0.0000 0.0000 0.7821  1 Cl 2.37
Li 0.6667 0.3333 0.0934  4 Cl 2.40-2.45
Li 0.6667 0.3333 0.2816  4 Cl 2.40-2.45
Li 0.6667 0.3333 0.4693  4 Cl 2.40-2.45
Li 0.6667 0.3333 0.6566  3 Cl 2.44
Li 0.6667 0.3333 0.8747  3 Cl 2.44
I 0.6667 0.3333 0.7439  4 Li 2.66-2.84
I 0.6667 0.3333 0.9619  4 Li 2.66-2.83
Cl 0.0000 0.0000 0.0731  4 Li 2.38-2.45
Cl 0.0000 0.0000 0.2612  4 Li 2.40-2.45
Cl 0.0000 0.0000 0.4493  4 Li 2.40-2.45
Cl 0.0000 0.0000 0.6370  4 Li 2.39-2.44
Cl 0.0000 0.0000 0.8550  4 Li 2.37-2.44
Cl 0.6667 0.3333 0.1671  4 Li 2.40-2.45
Cl 0.6667 0.3333 0.3554  4 Li 2.40-2.45
Cl 0.6667 0.3333 0.5431  4 Li 2.40-2.45

***

Going by the energies, version b is most stable and the next is 4.2 kJ/mol of atoms up.

***

Version a
## Li3ICl2 (PBE)

Data for a relaxed Li3ICl2 crystal.

* SG: P3m1 (156)
* M_tot: 0.0 μB/f.u.
* volume: 25.0 Å³ per atom

Cell lengths 4.1354, 4.1354, 10.1466 Å; angles 90.00, 90.00, 120.00 degrees
Last column: nearest neighbours and their distance in Å.
Fractional coordinates of all 6 atoms:
Li 0.0000 0.0000 0.0000  3 Cl 2.48
Li 0.3333 0.6667 0.6020  1 Cl 2.37
Li 0.6667 0.3333 0.3016  4 Cl 2.39-2.48
I 0.0000 0.0000 0.7230  4 Li 2.68-2.81
Cl 0.3333 0.6667 0.3686  4 Li 2.37-2.48
Cl 0.6667 0.3333 0.0662  4 Li 2.39-2.48

***

Version b
## Li3ICl2 (PBE)

Data for a relaxed Li3ICl2 crystal.

* SG: Imm2 (44)
* M_tot: 0.0 μB/f.u.
* volume: 24.8 Å³ per atom

Cell lengths 4.1648, 12.4729, 5.7278 Å; angles 90.00, 90.00, 90.00 degrees
Last column: nearest neighbours and their distance in Å.
Fractional coordinates of all 12 atoms:
Li 0.0000 0.0000 0.0000  2 Cl 2.41
Li 0.0000 0.3145 0.0902  3 Cl 2.40-2.44
Li 0.0000 0.6855 0.0902  3 Cl 2.40-2.44
Li 0.5000 0.1855 0.5902  3 Cl 2.40-2.44
Li 0.5000 0.5000 0.5000  2 Cl 2.41
Li 0.5000 0.8145 0.5902  3 Cl 2.40-2.44
I 0.0000 0.5000 0.8144  4 Li 2.75-2.80
I 0.5000 0.0000 0.3144  4 Li 2.75-2.80
Cl 0.0000 0.1720 0.8088  4 Li 2.40-2.44
Cl 0.0000 0.8280 0.8088  4 Li 2.40-2.44
Cl 0.5000 0.3280 0.3088  4 Li 2.40-2.44
Cl 0.5000 0.6720 0.3088  4 Li 2.40-2.44

***

Going by the energies, version b is most stable and the next is 1.5 kJ/mol of atoms up.

***

Version a
## LiI2Cl (PBE)

Data for a relaxed LiI2Cl crystal.

* SG: Fm-3m (225)
* M_tot: 0.0 μB/f.u.
* volume: 28.9 Å³ per atom

Cell lengths 7.7324, 7.7324, 7.7324 Å; angles 90.00, 90.00, 90.00 degrees
Last column: nearest neighbours and their distance in Å.
Fractional coordinates of all 16 atoms:
Li 0.0000 0.0000 0.0000  8 I 3.35
Li 0.0000 0.5000 0.5000  8 I 3.35
Li 0.5000 0.0000 0.5000  8 I 3.35
Li 0.5000 0.5000 0.0000  8 I 3.35
I 0.2500 0.2500 0.2500  4 Cl 3.35, 4 Li 3.35
I 0.2500 0.2500 0.7500  4 Cl 3.35, 4 Li 3.35
I 0.2500 0.7500 0.2500  4 Cl 3.35, 4 Li 3.35
I 0.2500 0.7500 0.7500  4 Cl 3.35, 4 Li 3.35
I 0.7500 0.2500 0.2500  4 Cl 3.35, 4 Li 3.35
I 0.7500 0.2500 0.7500  4 Cl 3.35, 4 Li 3.35
I 0.7500 0.7500 0.2500  4 Cl 3.35, 4 Li 3.35
I 0.7500 0.7500 0.7500  4 Li 3.35, 4 Cl 3.35
Cl 0.0000 0.0000 0.5000  8 I 3.35
Cl 0.0000 0.5000 0.0000  8 I 3.35
Cl 0.5000 0.0000 0.0000  8 I 3.35
Cl 0.5000 0.5000 0.5000  8 I 3.35

***

Version b
## LiI2Cl (PBE)

Data for a relaxed LiI2Cl crystal.

* SG: I-42d (122)
* M_tot: 0.0 μB/f.u.
* volume: 38.4 Å³ per atom

Cell lengths 5.5024, 5.5024, 20.3073 Å; angles 90.00, 90.00, 90.00 degrees
Last column: nearest neighbours and their distance in Å.
Fractional coordinates of all 16 atoms:
Li 0.0000 0.0000 0.0000  4 I 2.93
Li 0.0000 0.5000 0.2500  4 I 2.93
Li 0.5000 0.0000 0.7500  4 I 2.93
Li 0.5000 0.5000 0.5000  4 I 2.93
I 0.0930 0.2500 0.1250  2 Li 2.93, 2 I 2.94
I 0.2500 0.5930 0.3750  2 Li 2.93, 2 I 2.94
I 0.2500 0.9070 0.8750  2 Li 2.93, 2 I 2.94
I 0.4070 0.2500 0.6250  2 Li 2.93, 2 I 2.94
I 0.5930 0.7500 0.6250  2 Li 2.93, 2 I 2.94
I 0.7500 0.0930 0.8750  2 Li 2.93, 2 I 2.94
I 0.7500 0.4070 0.3750  2 Li 2.93, 2 I 2.94
I 0.9070 0.7500 0.1250  2 Li 2.93, 2 I 2.94
Cl 0.0000 0.0000 0.5000  4 I 3.65, 4 Li 3.89
Cl 0.0000 0.5000 0.7500  4 I 3.65, 4 Li 3.89
Cl 0.5000 0.0000 0.2500  4 I 3.65, 4 Li 3.89
Cl 0.5000 0.5000 0.0000  4 I 3.65, 4 Li 3.89

***

Going by the energies, version b is most stable and the next is 22.2 kJ/mol of atoms up.